# Ac12Pm3Nd

Ac12Pm3Nd after structural relaxation (PBE, Alexandria via LeMat-Bulk).

Uncorrected energy ... -4.25 eV per atom
Density ... 8.12 Mg/m³
Crystal system ... tetragonal
Energy of formation from the pure elements ... 25 meV per atom
SG ... No. 123
Total magnetization ... 0.00 μB per formula unit
N(E_F) ... 27.55 states/eV/cell

POSCAR file:
```
Ac12Pm3Nd
1.0
5.5332 0.0000 0.0000
0.0000 5.5332 0.0000
0.0000 0.0000 22.0571
Ac Pm Nd
12 3 1
Direct
0.0000 0.0000 0.0000
0.0000 0.0000 0.2498
0.0000 0.0000 0.5000
0.0000 0.0000 0.7502
0.0000 0.5000 0.1249
0.0000 0.5000 0.3747
0.0000 0.5000 0.6253
0.0000 0.5000 0.8751
0.5000 0.0000 0.1249
0.5000 0.0000 0.3747
0.5000 0.0000 0.6253
0.5000 0.0000 0.8751
0.5000 0.5000 0.0000
0.5000 0.5000 0.2498
0.5000 0.5000 0.7502
0.5000 0.5000 0.5000
```